Entry from Alexandria via LeMat-Bulk: a geometry-optimized Tb8Dy2Th structure (PBE).

Lattice parameters (Å, degrees): 10.2046 13.2992 5.3743 90.00 90.00 90.00
Space group Cmmm (No. 65)
Inequivalent atoms, fractional coordinates:
Tb 0.0000 0.2474 0.0000 (multiplicity 4)
Tb 0.1646 0.3683 0.5000 (multiplicity 8)
Tb 0.1660 0.0000 0.0000 (multiplicity 4)
Dy 0.0000 0.1207 0.5000 (multiplicity 4)
Th 0.0000 0.5000 0.0000 (multiplicity 2)

Computed properties:
energy relative to the elements = 177.7 meV/atom
N(E_F) = 35.716 states/eV/cell

---

Entry from Alexandria via LeMat-Bulk: a geometry-optimized Tb3Dy8Th structure (PBE).

Lattice parameters (Å, degrees): 7.6973 7.6973 15.3981 90.00 90.00 90.00
Space group I4/mmm (No. 139)
Inequivalent atoms, fractional coordinates:
Tb 0.0000 0.0000 0.0000 (multiplicity 2)
Tb 0.0000 0.5000 0.2500 (multiplicity 4)
Dy 0.2491 0.2491 0.3757 (multiplicity 16)
Th 0.0000 0.0000 0.5000 (multiplicity 2)

Computed properties:
energy relative to the elements = 769.3 meV/atom
N(E_F) = 32.426 states/eV/cell

---

Entry from Alexandria via LeMat-Bulk: a geometry-optimized Tb8Dy2Th3 structure (PBE).

Lattice parameters (Å, degrees): 7.9624 5.0927 11.0050 90.00 99.45 90.00
Space group P2/m (No. 10)
Inequivalent atoms, fractional coordinates:
Tb 0.0674 0.0000 0.3580 (multiplicity 2)
Tb 0.0883 0.5000 0.8624 (multiplicity 2)
Tb 0.3547 0.5000 0.2836 (multiplicity 2)
Tb 0.3608 0.0000 0.7827 (multiplicity 2)
Dy 0.1949 0.0000 0.0763 (multiplicity 2)
Th 0.2185 0.5000 0.5693 (multiplicity 2)
Th 0.5000 0.0000 0.5000 (multiplicity 1)

Computed properties:
energy relative to the elements = 160.4 meV/atom
N(E_F) = 20.032 states/eV/cell

---

Entry from Alexandria via LeMat-Bulk: a geometry-optimized Tb8Dy4Th structure (PBE).

Lattice parameters (Å, degrees): 10.9378 10.9378 13.4966 90.00 90.00 120.00
Space group R-3m (No. 166, hexagonal axes)
Inequivalent atoms, fractional coordinates:
Tb 0.0000 0.0000 0.2412 (multiplicity 6)
Tb 0.0129 0.5064 0.7481 (multiplicity 18)
Dy 0.0000 0.0000 0.0000 (multiplicity 3)
Dy 0.0000 0.5000 0.0000 (multiplicity 9)
Th 0.0000 0.0000 0.5000 (multiplicity 3)

Computed properties:
energy relative to the elements = 506.5 meV/atom
N(E_F) = 67.071 states/eV/cell

---

Entry from Alexandria via LeMat-Bulk: a geometry-optimized TbDy3Th structure (PBE).

Lattice parameters (Å, degrees): 5.3058 11.2456 10.9704 90.00 90.00 90.00
Space group Cmmm (No. 65)
Inequivalent atoms, fractional coordinates:
Tb 0.0000 0.1534 0.0000 (multiplicity 4)
Dy 0.0000 0.1518 0.3035 (multiplicity 8)
Dy 0.0000 0.5000 0.1714 (multiplicity 4)
Th 0.0000 0.3645 0.5000 (multiplicity 4)

Computed properties:
energy relative to the elements = 193.3 meV/atom
N(E_F) = 28.483 states/eV/cell

---

Entry from Alexandria via LeMat-Bulk: a geometry-optimized Tb2Dy7Th2 structure (PBE).

Lattice parameters (Å, degrees): 11.0958 11.4469 6.1039 90.00 113.31 90.00
Space group C2/m (No. 12)
Inequivalent atoms, fractional coordinates:
Tb 0.0000 0.2164 0.0000 (multiplicity 4)
Dy 0.0000 0.0000 0.5000 (multiplicity 2)
Dy 0.1735 0.2380 0.6713 (multiplicity 8)
Dy 0.2381 0.0000 0.0811 (multiplicity 4)
Th 0.0844 0.5000 0.3077 (multiplicity 4)

Computed properties:
energy relative to the elements = 179.7 meV/atom
N(E_F) = 33.826 states/eV/cell